[1]
Below is Ag2SbBr after structural relaxation, with properties calculated at the PBE level.

Structure (POSCAR):
```
Ag2SbBr
1.0
3.797 -0.001 0.009
1.911 3.281 0.009
1.874 1.077 7.739
Sb Br Ag
1 1 2
Direct
0.750 0.750 0.750
0.250 0.250 0.250
0.002 0.002 0.994
0.498 0.498 0.506
```

Summary:
E above lowest polymorph = 0.0 kJ/mol of atoms
ρ = 7.19 Mg/m³
SG = C2/m



[2]
Below is AgSbBr2 after structural relaxation, with properties calculated at the PBE level.

Structure (POSCAR):
```
AgSbBr2
1.0
7.656 0.085 0.040
6.748 3.617 0.040
0.773 0.199 4.879
Sb Br Ag
1 2 1
Direct
0.750 0.750 0.750
0.897 0.897 0.041
0.603 0.603 0.459
0.250 0.250 0.250
```

Summary:
E above lowest polymorph = 12.7 kJ/mol of atoms
ρ = 4.89 Mg/m³
SG = C2/m



[3]
Below is AgSbBr2 after structural relaxation, with properties calculated at the PBE level.

Structure (POSCAR):
```
AgSbBr2
1.0
-0.998 1.569 -3.059
-3.036 -1.897 0.017
-3.954 6.369 4.556
Sb Br Ag
1 2 1
Direct
0.000 0.000 0.546
0.000 0.000 0.905
0.500 0.500 0.314
0.500 0.500 0.735
```

Summary:
E above lowest polymorph = 16.2 kJ/mol of atoms
ρ = 5.75 Mg/m³
SG = P4mm



[4]
Below is AgSbBr2 after structural relaxation, with properties calculated at the PBE level.

Structure (POSCAR):
```
AgSbBr2
1.0
-2.647 -3.065 -1.826
-2.829 -2.787 1.989
-7.200 4.826 -0.695
Sb Br Ag
1 2 1
Direct
0.573 0.573 0.454
0.927 0.927 0.097
0.743 0.743 0.682
0.257 0.257 0.267
```

Summary:
E above lowest polymorph = 0.0 kJ/mol of atoms
ρ = 4.91 Mg/m³
SG = Cm



[5]
Below is AgSbBr after structural relaxation, with properties calculated at the PBE level.

Structure (POSCAR):
```
AgSbBr
1.0
5.027 0.000 0.000
2.514 4.354 0.000
2.514 1.451 4.105
Sb Br Ag
1 1 1
Direct
0.750 0.750 0.750
0.500 0.500 0.500
0.000 0.000 0.000
```

Summary:
E above lowest polymorph = 52.3 kJ/mol of atoms
ρ = 5.72 Mg/m³
SG = F-43m



[6]
Below is AgSbBr2 after structural relaxation, with properties calculated at the PBE level.

Structure (POSCAR):
```
AgSbBr2
1.0
5.936 -0.092 0.062
1.486 5.748 -0.062
-2.579 -4.313 3.161
Sb Br Ag
1 2 1
Direct
0.750 0.250 0.500
0.001 0.001 0.000
0.499 0.499 0.000
0.250 0.750 0.500
```

Summary:
E above lowest polymorph = 27.4 kJ/mol of atoms
ρ = 6.03 Mg/m³
SG = Immm



These records have energy relative to the elements, uncorrected values of -53; -100; -64; -232; 392; 52 meV/atom, in the order they appear.